# PBE Al2CuAu, optimized geometry
# - formation energy from the elements (meV per atom) = -29
# - SG = F-43m (216)
# - density of states at the Fermi level (states/eV/atom) = 0.5150
# - E (eV per cell) = -14.975
data_Al2CuAu
_chemical_formula_sum 'Al2 Cu1 Au1'
_space_group_name_H-M_alt 'P 1'
_space_group_IT_number 1
_cell_length_a 4.455
_cell_length_b 4.455
_cell_length_c 4.455
_cell_angle_alpha 60.00
_cell_angle_beta 60.00
_cell_angle_gamma 60.00
loop_
_space_group_symop_operation_xyz
'x,y,z'
loop_
_atom_site_label
_atom_site_type_symbol
_atom_site_fract_x
_atom_site_fract_y
_atom_site_fract_z
_atom_site_occupancy
Al1 Al 0.750 0.750 0.750 1
Al2 Al 0.000 0.000 0.000 1
Au1 Au 0.500 0.500 0.500 1
Cu1 Cu 0.250 0.250 0.250 1